Record 1
# Y2PuTh

Crystalline Y2PuTh at its relaxed geometry (PBE, Alexandria).

It has space group P4/mmm (No. 123), with a = 4.030 Å, b = 4.030 Å, c = 7.694 Å, α = 90.00°, β = 90.00° and γ = 90.00°. The inequivalent atoms are Y at (0.000, 0.000, 0.237), Pu at (0.500, 0.500, 0.000) and Th at (0.500, 0.500, 0.500).

Its calculated density is 8688 kg/m³. The excess energy over the best structure of this formula in the dataset comes out at 82.0 meV/atom. The formation energy comes out at 0.21 eV per atom.

---

Record 2
# YPuTh2

Crystalline YPuTh2 at its relaxed geometry (PBE, Alexandria).

It has space group P4/mmm (No. 123), with a = 5.072 Å, b = 5.072 Å, c = 4.744 Å, α = 90.00°, β = 90.00° and γ = 90.00°. The inequivalent atoms are Y at (0.000, 0.000, 0.000), Pu at (0.500, 0.500, 0.000) and Th at (0.000, 0.500, 0.500).

Its calculated density is 10846 kg/m³. The excess energy over the best structure of this formula in the dataset comes out at 3.2 meV/atom. The formation energy comes out at 0.11 eV per atom.

---

Record 3
# YPuTh2

Crystalline YPuTh2 at its relaxed geometry (PBE, Alexandria).

It has space group Fm-3m (No. 225), with a = 7.878 Å, b = 7.878 Å, c = 7.878 Å, α = 90.00°, β = 90.00° and γ = 90.00°. The inequivalent atoms are Y at (0.000, 0.000, 0.000), Pu at (0.000, 0.000, 0.500) and Th at (0.250, 0.250, 0.250).

Its calculated density is 10828 kg/m³. The excess energy over the best structure of this formula in the dataset comes out at 85.8 meV/atom. The formation energy comes out at 0.19 eV per atom.

---

Record 4
# Y2PuTh

Crystalline Y2PuTh at its relaxed geometry (PBE, Alexandria).

It has space group R3m (No. 160, hexagonal axes), with a = 3.5303 Å, b = 3.5303 Å, c = 34.7261 Å, α = 90.00°, β = 90.00° and γ = 120.00°. The inequivalent atoms are Y at (0.0000, 0.0000, 0.0000), Y at (0.0000, 0.0000, 0.1697), Pu at (0.0000, 0.0000, 0.5848) and Th at (0.0000, 0.0000, 0.4185).

Its calculated density is 8693 kg/m³. The excess energy over the best structure of this formula in the dataset comes out at 0.0 meV/atom. The formation energy comes out at 0.13 eV per atom.

---

Record 5
# YPuTh2

Crystalline YPuTh2 at its relaxed geometry (PBE, Alexandria).

It has space group R-3m (No. 166, hexagonal axes), with a = 3.4595 Å, b = 3.4595 Å, c = 36.7013 Å, α = 90.00°, β = 90.00° and γ = 120.00°. The inequivalent atoms are Y at (0.0000, 0.0000, 0.0000), Pu at (0.0000, 0.0000, 0.5000) and Th at (0.0000, 0.0000, 0.4146).

Its calculated density is 10437 kg/m³. The excess energy over the best structure of this formula in the dataset comes out at 183.9 meV/atom. The formation energy comes out at 0.29 eV per atom.

---

Record 6
# YPu4Th

Crystalline YPu4Th at its relaxed geometry (PBE, Alexandria).

It has space group F-43m (No. 216), with a = 8.721 Å, b = 8.721 Å, c = 8.721 Å, α = 90.00°, β = 90.00° and γ = 90.00°. The inequivalent atoms are Y at (0.000, 0.000, 0.000), Pu at (0.125, 0.125, 0.625) and Th at (0.250, 0.250, 0.250).

Its calculated density is 12989 kg/m³. The formation energy comes out at 0.21 eV per atom.